Record 1
Computed, not measured: crystalline PaSi2Pd at its relaxed geometry at the GGA-PBE level of DFT.

Results
Total energy: -7.08 eV/atom

Unit cell a=7.0562 b=4.0712 c=9.8763 alpha=90.00 beta=90.00 gamma=90.00
Fractional coordinates of all 16 atoms:
Pa1 0.1409 0.2500 0.1288
Pa2 0.3591 0.7500 0.6288
Pa3 0.6409 0.2500 0.3712
Pa4 0.8591 0.7500 0.8712
Si1 0.1518 0.2500 0.8191
Si2 0.2287 0.2500 0.4246
Si3 0.2713 0.7500 0.9246
Si4 0.3482 0.7500 0.3191
Si5 0.6518 0.2500 0.6809
Si6 0.7287 0.2500 0.0754
Si7 0.7713 0.7500 0.5754
Si8 0.8482 0.7500 0.1809
Pd1 0.0111 0.7500 0.3927
Pd2 0.4889 0.2500 0.8927
Pd3 0.5111 0.7500 0.1073
Pd4 0.9889 0.2500 0.6073

---

Record 2
Computed, not measured: crystalline DyEr2Si4Pd4 at its relaxed geometry at the GGA-PBE level of DFT.

Results
Total energy: -6.06 eV/atom

Unit cell a=7.9178 b=7.9178 c=7.9178 alpha=149.99 beta=127.84 gamma=61.35
Fractional coordinates of all 11 atoms:
Dy1 0.0000 0.0000 0.0000
Er1 0.3753 0.8753 0.5000
Er2 0.6247 0.1247 0.5000
Si1 0.2195 0.2195 0.0000
Si2 0.3190 0.5000 0.8190
Si3 0.6810 0.5000 0.1810
Si4 0.7805 0.7805 0.0000
Pd1 0.0267 0.3254 0.7014
Pd2 0.3760 0.6746 0.7014
Pd3 0.6240 0.3254 0.2986
Pd4 0.9733 0.6746 0.2986